A plane-wave DFT calculation with PBE was carried out for TmUTl2S4 after structural relaxation.

Symmetry   P2/m, No. 10
Magnetization   3.0 μB/cell
E_form (uncorrected)   -1230 meV per atom
Total DFT energy (no corrections)   -46.8 eV per cell

a b c (Å): 4.004 6.927 7.956
angles (deg): 106.93 90.00 90.00
Positions (direct):
Tm  0.000  0.000  0.000
U  0.500  0.500  0.000
Tl  0.500  0.000  0.500
Tl  0.000  0.500  0.500
S  0.500  0.227  0.193
S  0.500  0.773  0.807
S  0.000  0.265  0.805
S  0.000  0.735  0.195

=====

A plane-wave DFT calculation with PBE was carried out for LaMg2Ru after structural relaxation.

Symmetry   F-43m, No. 216
Magnetization   0.0 μB/cell
E_form   0.040 eV per atom
Total DFT energy (no corrections)   -17.2 eV per cell

a b c (Å): 4.979 4.979 4.979
angles (deg): 60.00 60.00 60.00
Positions (direct):
La  0.500  0.500  0.500
Mg  0.000  0.000  0.000
Mg  0.250  0.250  0.250
Ru  0.750  0.750  0.750